1.
Ca7NbSi4O17F: relaxed, PBEsol.

Summary:
Energy: -7.76 eV/atom
Formation energy (no corrections): -92.93 eV per formula unit
Total moment: 0.00 Bohr magnetons per cell
Space group: Pc

The structure in extended XYZ format:
```
60
Lattice="7.371 0.000 -0.011 0.000 10.421 0.000 -3.632 0.000 10.205" Properties=species:S:1:pos:R:3 pbc="T T T"
Ca 0.169 6.748 9.509
Ca 1.985 3.673 4.406
Ca 3.845 6.958 9.365
Ca 5.661 3.463 4.262
Ca 2.133 3.960 8.243
Ca 3.949 6.461 3.141
Ca -1.732 3.854 8.477
Ca 0.084 6.566 3.374
Ca 0.264 1.416 6.702
Ca 2.080 9.004 1.599
Ca 1.980 8.718 5.833
Ca 3.796 1.703 0.731
Ca -1.743 8.824 5.726
Ca 0.074 1.596 0.624
Nb 3.879 1.451 6.942
Nb 5.695 8.969 1.840
Si 3.523 0.713 3.660
Si 1.706 9.707 8.762
Si 0.374 0.575 3.849
Si -1.442 9.846 8.951
Si 0.354 5.779 6.289
Si 2.170 4.641 1.187
Si 3.634 5.821 6.190
Si 5.450 4.599 1.088
O 3.932 0.121 5.133
O 5.748 10.299 0.031
O 0.124 10.104 5.193
O 1.940 0.317 0.090
O 4.164 10.378 2.353
O 2.348 0.043 7.456
O -0.455 0.153 2.511
O -2.271 10.267 7.614
O 3.711 2.307 3.483
O 1.895 8.114 8.585
O 0.217 2.133 4.250
O -1.600 8.287 9.352
O -0.032 5.239 7.770
O 1.784 5.182 2.668
O 4.106 5.273 7.638
O 5.923 5.147 2.536
O -0.104 4.863 5.036
O -1.921 5.558 10.138
O 4.052 4.968 4.869
O 2.236 5.453 9.972
O 0.082 7.342 5.932
O 1.898 3.078 0.830
O 3.862 7.408 5.949
O 5.678 3.013 0.847
O -1.927 2.396 6.433
O -0.111 8.024 1.330
O 2.373 2.483 6.349
O 4.190 7.937 1.246
O 3.826 2.302 8.631
O 5.642 8.119 3.528
O 1.936 0.265 3.376
O 0.120 10.156 8.479
O 2.000 5.498 6.269
O 3.816 4.923 1.166
F 0.258 2.583 8.690
F 2.074 7.838 3.588
```

***

2.
CaZrNbF2: relaxed, PBEsol.

Summary:
Energy: -6.10 eV/atom
Formation energy (no corrections): -4.58 eV per formula unit
Total moment: 0.00 Bohr magnetons per cell
Space group: P4/mmm

The structure in extended XYZ format:
```
5
Lattice="-1.741 -3.619 -0.562 2.966 -1.028 -2.567 4.419 -3.113 6.350" Properties=species:S:1:pos:R:3 pbc="T T T"
Nb 2.822 -3.880 1.610
Ca 0.000 0.000 0.000
Zr 2.209 -1.556 3.175
F 1.483 -0.514 -1.284
F -0.871 -1.809 -0.281
```

***

3.
CaNiF5: relaxed, PBEsol.

Summary:
Energy: -5.15 eV/atom
Formation energy (no corrections): -18.15 eV per formula unit
Total moment: 0.61 Bohr magnetons per cell
Space group: P2_1/c

The structure in extended XYZ format:
```
28
Lattice="-0.208 4.285 -2.992 -5.606 -4.990 -1.867 -5.907 4.222 6.455" Properties=species:S:1:pos:R:3 pbc="T T T"
Ca -10.041 2.438 3.533
Ca -7.189 0.518 0.087
Ca -1.681 1.079 -1.937
Ca -4.532 2.999 1.509
Ni -4.957 1.792 -2.119
Ni -9.514 -0.808 2.722
Ni -6.764 1.725 3.715
Ni -2.208 4.325 -1.127
F -3.913 0.303 -1.912
F -9.166 -0.313 0.995
F -7.808 3.214 3.508
F -2.555 3.830 0.601
F -5.289 1.827 -0.331
F -10.891 0.377 2.802
F -6.433 1.690 1.927
F -0.831 3.139 -1.206
F -8.340 2.348 -0.394
F -4.413 -2.593 -0.880
F -3.382 1.168 1.990
F -7.309 6.109 2.476
F -10.069 2.949 1.399
F -5.728 -1.017 0.654
F -1.653 0.568 0.197
F -5.994 4.534 0.942
F -6.559 0.642 -2.217
F -8.409 0.698 3.364
F -5.162 2.875 3.813
F -3.312 2.819 -1.769
```

***

4.
CaNiF6: relaxed, PBEsol.

Summary:
Energy: -4.88 eV/atom
Formation energy (no corrections): -19.22 eV per formula unit
Total moment: 0.00 Bohr magnetons per cell
Space group: R-3

The structure in extended XYZ format:
```
8
Lattice="5.011 0.000 0.000 2.505 4.339 0.000 2.505 1.446 4.635" Properties=species:S:1:pos:R:3 pbc="T T T"
Ni 0.000 0.000 0.000
Ca 5.011 2.893 2.317
F 5.829 1.198 1.036
F 3.134 3.032 1.036
F 3.952 1.337 3.598
F 6.888 2.754 3.598
F 4.193 4.588 3.598
F 6.069 4.449 1.036
```

***

5.
CaNiF5: relaxed, PBEsol.

Summary:
Energy: -5.16 eV/atom
Formation energy (no corrections): -18.17 eV per formula unit
Total moment: 0.17 Bohr magnetons per cell
Space group: C2/c

The structure in extended XYZ format:
```
14
Lattice="-2.716 0.117 -4.639 -2.361 -4.746 -0.903 -7.585 0.404 1.247" Properties=species:S:1:pos:R:3 pbc="T T T"
Ca -4.453 -1.971 -2.646
Ca -8.210 -2.253 -1.650
Ni -3.793 0.202 0.624
Ni 0.000 0.000 0.000
F -8.072 -4.143 -0.199
F -4.590 -0.082 -4.097
F -7.855 -0.754 -0.088
F -8.590 -3.410 -3.476
F -6.632 -1.150 -2.934
F -9.968 -0.881 -2.268
F -6.030 -3.074 -1.362
F -2.694 -3.343 -2.028
F -4.072 -0.814 -0.820
F -4.808 -3.471 -4.208
```

***

6.
CaNiOF2: relaxed, PBEsol.

Summary:
Energy: -4.78 eV/atom
Formation energy (no corrections): -6.53 eV per formula unit
Total moment: 2.00 Bohr magnetons per cell
Space group: P4/mmm

The structure in extended XYZ format:
```
5
Lattice="-3.258 1.245 -2.278 -2.513 -2.429 2.267 -0.697 3.372 2.840" Properties=species:S:1:pos:R:3 pbc="T T T"
Ni -3.234 1.094 1.415
Ca 0.000 0.000 0.000
O -0.348 1.686 1.420
F -1.257 -1.214 1.133
F -1.629 0.623 -1.139
```

***

7.
CaNiWF2: relaxed, PBEsol.

Summary:
Energy: -5.96 eV/atom
Formation energy (no corrections): -3.82 eV per formula unit
Total moment: 0.01 Bohr magnetons per cell
Space group: P4/mmm

The structure in extended XYZ format:
```
5
Lattice="4.130 0.000 0.000 0.000 4.130 0.000 0.000 0.000 4.640" Properties=species:S:1:pos:R:3 pbc="T T T"
Ni 0.000 0.000 2.320
Ca 2.065 2.065 2.320
W 0.000 0.000 0.000
F 0.000 2.065 0.000
F 2.065 0.000 0.000
```

***

8.
CaZnNiF2: relaxed, PBEsol.

Summary:
Energy: -4.01 eV/atom
Formation energy (no corrections): -6.34 eV per formula unit
Total moment: 0.57 Bohr magnetons per cell
Space group: P4/mmm

The structure in extended XYZ format:
```
5
Lattice="-2.807 -1.486 2.586 2.968 -1.751 2.214 0.449 5.036 3.381" Properties=species:S:1:pos:R:3 pbc="T T T"
Ni 0.224 2.518 1.691
Zn 0.305 0.899 4.091
Ca 0.000 0.000 0.000
F 1.484 -0.876 1.107
F -1.403 -0.743 1.293
```

***

Repeat the third record exactly.
CaNiF5: relaxed, PBEsol.

Summary:
Energy: -5.15 eV/atom
Formation energy (no corrections): -18.15 eV per formula unit
Total moment: 0.61 Bohr magnetons per cell
Space group: P2_1/c

The structure in extended XYZ format:
```
28
Lattice="-0.208 4.285 -2.992 -5.606 -4.990 -1.867 -5.907 4.222 6.455" Properties=species:S:1:pos:R:3 pbc="T T T"
Ca -10.041 2.438 3.533
Ca -7.189 0.518 0.087
Ca -1.681 1.079 -1.937
Ca -4.532 2.999 1.509
Ni -4.957 1.792 -2.119
Ni -9.514 -0.808 2.722
Ni -6.764 1.725 3.715
Ni -2.208 4.325 -1.127
F -3.913 0.303 -1.912
F -9.166 -0.313 0.995
F -7.808 3.214 3.508
F -2.555 3.830 0.601
F -5.289 1.827 -0.331
F -10.891 0.377 2.802
F -6.433 1.690 1.927
F -0.831 3.139 -1.206
F -8.340 2.348 -0.394
F -4.413 -2.593 -0.880
F -3.382 1.168 1.990
F -7.309 6.109 2.476
F -10.069 2.949 1.399
F -5.728 -1.017 0.654
F -1.653 0.568 0.197
F -5.994 4.534 0.942
F -6.559 0.642 -2.217
F -8.409 0.698 3.364
F -5.162 2.875 3.813
F -3.312 2.819 -1.769
```